Below is an optimized crystal structure of NdSc2Ga9, with properties calculated at the PBE level.

Cell lengths 4.2110, 4.2110, 12.6171 Å; angles 90.00, 90.00, 90.00 degrees
Closest atoms and distances in Å follow each position.
Fractional coordinates of all 12 atoms:
Nd 0.0000 0.0000 0.0000  12 Ga 2.98-3.09
Sc 0.0000 0.0000 0.3404  12 Ga 2.91-2.98
Sc 0.0000 0.0000 0.6596  12 Ga 2.91-2.98
Ga 0.0000 0.5000 0.1794  8 Ga 2.89-3.09, 2 Sc 2.93, 2 Nd 3.09
Ga 0.0000 0.5000 0.5000  4 Sc 2.91, 8 Ga 2.95-2.98
Ga 0.0000 0.5000 0.8206  8 Ga 2.89-3.09, 2 Sc 2.93, 2 Nd 3.09
Ga 0.5000 0.0000 0.1794  8 Ga 2.89-3.09, 2 Sc 2.93, 2 Nd 3.09
Ga 0.5000 0.0000 0.5000  4 Sc 2.91, 8 Ga 2.95-2.98
Ga 0.5000 0.0000 0.8206  8 Ga 2.89-3.09, 2 Sc 2.93, 2 Nd 3.09
Ga 0.5000 0.5000 0.0000  4 Nd 2.98, 8 Ga 3.09
Ga 0.5000 0.5000 0.3362  8 Ga 2.89-2.95, 4 Sc 2.98
Ga 0.5000 0.5000 0.6638  8 Ga 2.89-2.95, 4 Sc 2.98

Crystal system: tetragonal
Energy of formation from the pure elements (eV/atom): -0.4990


Below is an optimized crystal structure of NdScGa6, with properties calculated at the PBE level.

Cell lengths 6.2449, 6.2449, 4.5764 Å; angles 90.00, 90.00, 120.00 degrees
Closest atoms and distances in Å follow each position.
Fractional coordinates of all 8 atoms:
Nd 0.0000 0.0000 0.0000  12 Ga 3.07-3.13
Sc 0.3333 0.6667 0.5000  12 Ga 3.00-3.13
Ga 0.3788 0.1894 0.5000  6 Ga 2.70-2.80
Ga 0.5127 0.0254 0.0000  6 Ga 2.80-2.88, 2 Sc 3.00, 2 Nd 3.13
Ga 0.5127 0.4873 0.0000  6 Ga 2.80-2.88, 2 Sc 3.00, 2 Nd 3.13
Ga 0.8106 0.1894 0.5000  6 Ga 2.70-2.80
Ga 0.8106 0.6212 0.5000  6 Ga 2.70-2.80
Ga 0.9746 0.4873 0.0000  6 Ga 2.80-2.88, 2 Sc 3.00, 2 Nd 3.13

Crystal system: hexagonal
Energy relative to the lowest polymorph listed for this composition (eV/atom): 0.023
Energy of formation from the pure elements (eV/atom): -0.4808


Below is an optimized crystal structure of NdSc2Ga4, with properties calculated at the PBE level.

Cell lengths 4.0973, 4.1134, 17.7320 Å; angles 90.00, 90.00, 90.00 degrees
Closest atoms and distances in Å follow each position.
Fractional coordinates of all 14 atoms:
Nd 0.0000 0.0000 0.0000  12 Ga 3.16-3.42
Nd 0.5000 0.5000 0.5000  12 Ga 3.16-3.42
Sc 0.0000 0.5000 0.3136  7 Ga 2.83-2.96
Sc 0.0000 0.5000 0.6864  7 Ga 2.83-2.96
Sc 0.5000 0.0000 0.1864  7 Ga 2.83-2.96
Sc 0.5000 0.0000 0.8136  7 Ga 2.83-2.96
Ga 0.0000 0.0000 0.4289  3 Ga 2.52
Ga 0.0000 0.0000 0.5711  3 Ga 2.52
Ga 0.0000 0.5000 0.1539  2 Ga 2.52
Ga 0.0000 0.5000 0.8461  2 Ga 2.52
Ga 0.5000 0.0000 0.3461  2 Ga 2.52
Ga 0.5000 0.0000 0.6539  2 Ga 2.52
Ga 0.5000 0.5000 0.0711  3 Ga 2.52
Ga 0.5000 0.5000 0.9289  3 Ga 2.52

Crystal system: orthorhombic
Energy of formation from the pure elements (eV/atom): -0.6155


Below is an optimized crystal structure of NdScGa4, with properties calculated at the PBE level.

Cell lengths 8.1244, 15.4629, 4.1052 Å; angles 90.00, 90.00, 90.00 degrees
Closest atoms and distances in Å follow each position.
Fractional coordinates of all 24 atoms:
Nd 0.1296 0.1457 0.0000  12 Ga 3.24-3.57
Nd 0.3704 0.6457 0.0000  12 Ga 3.24-3.57
Nd 0.6296 0.3543 0.0000  12 Ga 3.24-3.57
Nd 0.8704 0.8543 0.0000  12 Ga 3.24-3.57
Sc 0.1287 0.4172 0.0000  10 Ga 2.91-2.95
Sc 0.3713 0.9172 0.0000  10 Ga 2.91-2.95
Sc 0.6287 0.0828 0.0000  10 Ga 2.91-2.95
Sc 0.8713 0.5828 0.0000  10 Ga 2.91-2.95
Ga 0.0065 0.7005 0.5000  3 Ga 2.37-2.47
Ga 0.1181 0.5530 0.5000  3 Ga 2.44-2.52
Ga 0.1301 0.9673 0.5000  3 Ga 2.34-2.45
Ga 0.2032 0.8133 0.5000  3 Ga 2.37-2.47
Ga 0.2968 0.3133 0.5000  3 Ga 2.37-2.47
Ga 0.3699 0.4673 0.5000  3 Ga 2.34-2.45
Ga 0.3819 0.0530 0.5000  3 Ga 2.44-2.52
Ga 0.4935 0.2005 0.5000  3 Ga 2.37-2.47
Ga 0.5065 0.7995 0.5000  3 Ga 2.37-2.47
Ga 0.6181 0.9470 0.5000  3 Ga 2.44-2.52
Ga 0.6301 0.5327 0.5000  3 Ga 2.34-2.45
Ga 0.7032 0.6867 0.5000  3 Ga 2.37-2.47
Ga 0.7968 0.1867 0.5000  3 Ga 2.37-2.47
Ga 0.8699 0.0327 0.5000  3 Ga 2.34-2.45
Ga 0.8819 0.4470 0.5000  3 Ga 2.44-2.52
Ga 0.9935 0.2995 0.5000  3 Ga 2.37-2.47

Crystal system: orthorhombic
Energy relative to the lowest polymorph listed for this composition (eV/atom): 0.055
Energy of formation from the pure elements (eV/atom): -0.5092


Below is an optimized crystal structure of NdSc4Ga5, with properties calculated at the PBE level.

Cell lengths 3.4329, 3.4329, 17.0571 Å; angles 90.00, 90.00, 90.00 degrees
Closest atoms and distances in Å follow each position.
Fractional coordinates of all 10 atoms:
Nd 0.0000 0.0000 0.0000  8 Ga 3.18, 4 Nd 3.43
Sc 0.0000 0.0000 0.2136  8 Ga 2.90-2.93
Sc 0.0000 0.0000 0.4048  8 Ga 2.92, 2 Sc 3.25-3.26
Sc 0.0000 0.0000 0.5952  8 Ga 2.92, 2 Sc 3.25-3.26
Sc 0.0000 0.0000 0.7864  8 Ga 2.90-2.93
Ga 0.5000 0.5000 0.1201  4 Sc 2.90, 4 Nd 3.18, 1 Ga 3.23
Ga 0.5000 0.5000 0.3095  8 Sc 2.92-2.93, 2 Ga 3.23-3.25
Ga 0.5000 0.5000 0.5000  8 Sc 2.92, 2 Ga 3.25
Ga 0.5000 0.5000 0.6905  8 Sc 2.92-2.93, 2 Ga 3.23-3.25
Ga 0.5000 0.5000 0.8799  4 Sc 2.90, 4 Nd 3.18, 1 Ga 3.23

Crystal system: tetragonal
Energy of formation from the pure elements (eV/atom): -0.5825


Below is an optimized crystal structure of Nd2Sc3Ga2, with properties calculated at the PBE level.

Cell lengths 11.4799, 4.3624, 7.6231 Å; angles 90.00, 110.52, 90.00 degrees
Closest atoms and distances in Å follow each position.
Fractional coordinates of all 14 atoms:
Nd 0.1435 0.0000 0.2929  4 Ga 3.21-3.39, 4 Sc 3.41-3.43
Nd 0.3565 0.5000 0.7071  4 Ga 3.21-3.39, 4 Sc 3.41-3.43
Nd 0.6435 0.5000 0.2929  4 Ga 3.21-3.39, 4 Sc 3.41-3.43
Nd 0.8565 0.0000 0.7071  4 Ga 3.21-3.39, 4 Sc 3.41-3.43
Sc 0.0000 0.5000 0.5000  4 Ga 2.94, 2 Sc 3.18
Sc 0.1317 0.5000 0.9434  3 Ga 2.83-2.86
Sc 0.3683 0.0000 0.0566  3 Ga 2.83-2.86
Sc 0.5000 0.0000 0.5000  4 Ga 2.94, 2 Sc 3.18
Sc 0.6317 0.0000 0.9434  3 Ga 2.83-2.86
Sc 0.8683 0.5000 0.0566  3 Ga 2.83-2.86
Ga 0.1550 0.0000 0.7208  5 Sc 2.83-2.94
Ga 0.3450 0.5000 0.2792  5 Sc 2.83-2.94
Ga 0.6550 0.5000 0.7208  5 Sc 2.83-2.94
Ga 0.8450 0.0000 0.2792  5 Sc 2.83-2.94

Crystal system: monoclinic
Energy of formation from the pure elements (eV/atom): -0.3364


Below is an optimized crystal structure of Nd2ScGa2, with properties calculated at the PBE level.

Cell lengths 6.3315, 6.3315, 11.1225 Å; angles 117.48, 117.48, 41.79 degrees
Closest atoms and distances in Å follow each position.
Fractional coordinates of all 10 atoms:
Nd 0.0196 0.0196 0.1853  6 Ga 3.17-3.35, 3 Sc 3.38-3.50
Nd 0.1887 0.1887 0.6060  6 Ga 3.15-3.43
Nd 0.8113 0.8113 0.3940  6 Ga 3.15-3.43
Nd 0.9804 0.9804 0.8147  6 Ga 3.17-3.35, 3 Sc 3.38-3.50
Sc 0.2854 0.2854 0.1280  4 Ga 2.79-2.91
Sc 0.7146 0.7146 0.8720  4 Ga 2.79-2.91
Ga 0.3722 0.3722 0.9313  1 Ga 2.63, 3 Sc 2.79-2.84
Ga 0.4779 0.4779 0.6049  1 Ga 2.63, 1 Sc 2.91
Ga 0.5221 0.5221 0.3951  1 Ga 2.63, 1 Sc 2.91
Ga 0.6278 0.6278 0.0687  1 Ga 2.63, 3 Sc 2.79-2.84

Crystal system: monoclinic
Energy of formation from the pure elements (eV/atom): -0.4928


Below is an optimized crystal structure of NdScGa4, with properties calculated at the PBE level.

Cell lengths 5.4930, 5.4930, 5.4930 Å; angles 60.00, 60.00, 60.00 degrees
Closest atoms and distances in Å follow each position.
Fractional coordinates of all 6 atoms:
Nd 0.0000 0.0000 0.0000  12 Ga 3.22, 4 Sc 3.36
Sc 0.7500 0.7500 0.7500  12 Ga 3.22, 4 Nd 3.36
Ga 0.3753 0.3753 0.3753  6 Ga 2.74-2.75
Ga 0.3753 0.3753 0.8740  6 Ga 2.74-2.75
Ga 0.3753 0.8740 0.3753  6 Ga 2.74-2.75
Ga 0.8740 0.3753 0.3753  6 Ga 2.74-2.75

Crystal system: cubic
Energy relative to the lowest polymorph listed for this composition (eV/atom): 0.058
Energy of formation from the pure elements (eV/atom): -0.5063


Below is an optimized crystal structure of NdScGa4, with properties calculated at the PBE level.

Cell lengths 4.2132, 7.3546, 8.0697 Å; angles 90.00, 90.00, 90.00 degrees
Closest atoms and distances in Å follow each position.
Fractional coordinates of all 12 atoms:
Nd 0.0000 0.0000 0.0000  12 Ga 3.13-3.21
Nd 0.5000 0.5000 0.5000  12 Ga 3.13-3.21
Sc 0.0000 0.0000 0.5000  12 Ga 3.11-3.23
Sc 0.5000 0.5000 0.0000  12 Ga 3.11-3.23
Ga 0.0000 0.3343 0.2398  3 Ga 2.44-2.45
Ga 0.0000 0.3343 0.7602  3 Ga 2.44-2.45
Ga 0.0000 0.6657 0.2398  3 Ga 2.44-2.45
Ga 0.0000 0.6657 0.7602  3 Ga 2.44-2.45
Ga 0.5000 0.1657 0.2602  3 Ga 2.44-2.45
Ga 0.5000 0.1657 0.7398  3 Ga 2.44-2.45
Ga 0.5000 0.8343 0.2602  3 Ga 2.44-2.45
Ga 0.5000 0.8343 0.7398  3 Ga 2.44-2.45

Crystal system: orthorhombic
Energy relative to the lowest polymorph listed for this composition (eV/atom): 0.000
Energy of formation from the pure elements (eV/atom): -0.5640


Below is an optimized crystal structure of Nd3Sc4Ga4, with properties calculated at the PBE level.

Cell lengths 8.9234, 8.9234, 8.9234 Å; angles 149.69, 131.25, 58.49 degrees
Closest atoms and distances in Å follow each position.
Fractional coordinates of all 11 atoms:
Nd 0.0000 0.0000 0.0000  6 Ga 3.22-3.29
Nd 0.3862 0.8862 0.5000  4 Ga 3.23, 4 Sc 3.31, 1 Nd 3.54
Nd 0.6138 0.1138 0.5000  4 Ga 3.23, 4 Sc 3.31, 1 Nd 3.54
Sc 0.0331 0.3266 0.7065  4 Ga 2.81-2.85, 1 Sc 3.04
Sc 0.3798 0.6734 0.7065  4 Ga 2.81-2.85, 1 Sc 3.04
Sc 0.6202 0.3266 0.2935  4 Ga 2.81-2.85, 1 Sc 3.04
Sc 0.9669 0.6734 0.2935  4 Ga 2.81-2.85, 1 Sc 3.04
Ga 0.2070 0.2070 0.0000  6 Sc 2.83-2.85
Ga 0.3141 0.5000 0.8141  1 Ga 2.74, 2 Sc 2.81
Ga 0.6859 0.5000 0.1859  1 Ga 2.74, 2 Sc 2.81
Ga 0.7930 0.7930 0.0000  6 Sc 2.83-2.85

Crystal system: orthorhombic
Energy of formation from the pure elements (eV/atom): -0.4533


Below is an optimized crystal structure of NdScGa6, with properties calculated at the PBE level.

Cell lengths 4.2611, 4.2611, 8.4770 Å; angles 90.00, 90.00, 90.00 degrees
Closest atoms and distances in Å follow each position.
Fractional coordinates of all 8 atoms:
Nd 0.0000 0.0000 0.0000  12 Ga 3.01-3.09
Sc 0.0000 0.0000 0.5000  12 Ga 2.92-3.01
Ga 0.0000 0.5000 0.2645  2 Sc 2.92, 8 Ga 2.92-3.09, 2 Nd 3.09
Ga 0.0000 0.5000 0.7355  8 Ga 2.92-3.09, 2 Sc 2.92, 2 Nd 3.09
Ga 0.5000 0.0000 0.2645  2 Sc 2.92, 8 Ga 2.92-3.09, 2 Nd 3.09
Ga 0.5000 0.0000 0.7355  8 Ga 2.92-3.09, 2 Sc 2.92, 2 Nd 3.09
Ga 0.5000 0.5000 0.0000  4 Nd 3.01, 8 Ga 3.09
Ga 0.5000 0.5000 0.5000  8 Ga 2.92, 4 Sc 3.01

Crystal system: tetragonal
Energy relative to the lowest polymorph listed for this composition (eV/atom): 0.000
Energy of formation from the pure elements (eV/atom): -0.5035


The lowest energy of formation from the pure elements belongs to which entry?
NdSc2Ga4